! PBE-GGA Ti3FeNi2, relaxed; values from VASP
&SYSTEM
  ibrav = 0, nat = 6, ntyp = 3
/
ATOMIC_SPECIES
Ti 47.87 Ti.upf
Fe 55.84 Fe.upf
Ni 58.69 Ni.upf
CELL_PARAMETERS angstrom
-2.6913 0.3407 -1.1120
-0.4244 -2.8976 0.1395
-3.4572 0.9229 8.6498
ATOMIC_POSITIONS crystal
Ti 0.0000 0.0000 0.0000
Ti 0.0000 0.0000 0.6598
Ti 0.0000 0.0000 0.3402
Fe 0.5000 0.5000 0.5000
Ni 0.5000 0.5000 0.8187
Ni 0.5000 0.5000 0.1813
! Calculated total energy in hartree per atom: -0.2813
! Total magnetization in μB/f.u.: 0.56